Crystalline SrCd3Rh at its relaxed geometry. Source: Alexandria, functional PBE-GGA.

DOS(E_F), states/eV per atom: 0.74
M_tot, μB/cell: 0.000
Calculated total energy, eV/atom: -2.540
Symmetry: Pm-3m

abc: 5.2033 5.2033 5.2033
angles: 90.00 90.00 90.00
Last column: nearest neighbours and their distance in Å.
Element x y z (fractional)
Sr 0.0000 0.0000 0.0000  12 Cd 3.68
Cd 0.0000 0.5000 0.5000  2 Rh 2.60
Cd 0.5000 0.0000 0.5000  2 Rh 2.60
Cd 0.5000 0.5000 0.0000  2 Rh 2.60
Rh 0.5000 0.5000 0.5000  6 Cd 2.60

=====

Crystalline CdHg2Ru at its relaxed geometry. Source: Alexandria, functional PBE-GGA.

DOS(E_F), states/eV per atom: 0.67
M_tot, μB/cell: 0.515
Calculated total energy, eV/atom: -2.192
Symmetry: F-43m

abc: 4.7762 4.7762 4.7762
angles: 60.00 60.00 60.00
Last column: nearest neighbours and their distance in Å.
Element x y z (fractional)
Cd 0.0000 0.0000 0.0000  4 Ru 2.92, 4 Hg 2.92
Hg 0.2500 0.2500 0.2500  4 Hg 2.92, 4 Cd 2.92
Hg 0.5000 0.5000 0.5000  4 Hg 2.92, 4 Ru 2.92
Ru 0.7500 0.7500 0.7500  4 Hg 2.92, 4 Cd 2.92

=====

Crystalline Ca3MoPt at its relaxed geometry. Source: Alexandria, functional PBE-GGA.

DOS(E_F), states/eV per atom: 0.58
M_tot, μB/cell: 0.000
Calculated total energy, eV/atom: -3.661
Symmetry: Pm-3m

abc: 5.2087 5.2087 5.2087
angles: 90.00 90.00 90.00
Last column: nearest neighbours and their distance in Å.
Element x y z (fractional)
Ca 0.0000 0.0000 0.5000  2 Mo 2.60
Ca 0.0000 0.5000 0.0000  2 Mo 2.60
Ca 0.5000 0.0000 0.0000  2 Mo 2.60
Mo 0.0000 0.0000 0.0000  6 Ca 2.60
Pt 0.5000 0.5000 0.5000  12 Ca 3.68

=====

Crystalline Tb2Pm5Th at its relaxed geometry. Source: Alexandria, functional PBE-GGA.

DOS(E_F), states/eV per atom: 1.38
M_tot, μB/cell: 0.000
Calculated total energy, eV/atom: -5.026
Symmetry: Pbam

abc: 7.2314 14.4706 5.1249
angles: 90.00 90.00 90.00
Last column: nearest neighbours and their distance in Å.
Element x y z (fractional)
Tb 0.2413 0.1223 0.0000  10 Pm 3.53-3.70, 2 Th 3.57
Tb 0.2587 0.6223 0.0000  10 Pm 3.53-3.70, 2 Th 3.57
Tb 0.7413 0.3777 0.0000  10 Pm 3.53-3.70, 2 Th 3.57
Tb 0.7587 0.8777 0.0000  10 Pm 3.53-3.70, 2 Th 3.57
Pm 0.0000 0.5000 0.5000  2 Th 3.62, 6 Pm 3.62-3.64, 4 Tb 3.63
Pm 0.0049 0.7515 0.5000  7 Pm 3.60-3.68, 1 Th 3.60, 4 Tb 3.62-3.66
Pm 0.2469 0.8771 0.0000  4 Tb 3.53-3.70, 2 Th 3.59, 6 Pm 3.60-3.68
Pm 0.2531 0.3771 0.0000  4 Tb 3.53-3.70, 2 Th 3.59, 6 Pm 3.60-3.68
Pm 0.4951 0.2515 0.5000  7 Pm 3.60-3.68, 1 Th 3.60, 4 Tb 3.62-3.66
Pm 0.5000 0.0000 0.5000  2 Th 3.62, 6 Pm 3.62-3.64, 4 Tb 3.63
Pm 0.5049 0.7485 0.5000  7 Pm 3.60-3.68, 1 Th 3.60, 4 Tb 3.62-3.66
Pm 0.7469 0.6229 0.0000  4 Tb 3.53-3.70, 2 Th 3.59, 6 Pm 3.60-3.68
Pm 0.7531 0.1229 0.0000  4 Tb 3.53-3.70, 2 Th 3.59, 6 Pm 3.60-3.68
Pm 0.9951 0.2485 0.5000  7 Pm 3.60-3.68, 1 Th 3.60, 4 Tb 3.62-3.66
Th 0.0000 0.0000 0.5000  4 Tb 3.57, 8 Pm 3.59-3.62
Th 0.5000 0.5000 0.5000  4 Tb 3.57, 8 Pm 3.59-3.62

=====

Crystalline RbY3Ag at its relaxed geometry. Source: Alexandria, functional PBE-GGA.

DOS(E_F), states/eV per atom: 1.10
M_tot, μB/cell: 0.000
Calculated total energy, eV/atom: -3.235
Symmetry: Pm-3m

abc: 5.4490 5.4490 5.4490
angles: 90.00 90.00 90.00
Last column: nearest neighbours and their distance in Å.
Element x y z (fractional)
Rb 0.0000 0.0000 0.0000  6 Y 2.72
Y 0.0000 0.0000 0.5000  2 Rb 2.72
Y 0.0000 0.5000 0.0000  2 Rb 2.72
Y 0.5000 0.0000 0.0000  2 Rb 2.72
Ag 0.5000 0.5000 0.5000  12 Y 3.85

=====

Crystalline ReTcPt2 at its relaxed geometry. Source: Alexandria, functional PBE-GGA.

DOS(E_F), states/eV per atom: 1.23
M_tot, μB/cell: 0.000
Calculated total energy, eV/atom: -8.757
Symmetry: Cmmm

abc: 4.8853 4.8853 2.7166
angles: 90.00 90.00 112.05
Last column: nearest neighbours and their distance in Å.
Element x y z (fractional)
Re 0.0000 0.0000 0.0000  2 Re 2.72, 2 Tc 2.73, 8 Pt 2.79
Tc 0.5000 0.5000 0.0000  2 Tc 2.72, 2 Re 2.73, 8 Pt 2.79
Pt 0.0000 0.5000 0.5000  4 Pt 2.72-2.73, 4 Re 2.79, 4 Tc 2.79
Pt 0.5000 0.0000 0.5000  4 Pt 2.72-2.73, 4 Tc 2.79, 4 Re 2.79

=====

Crystalline Ba2GdPd at its relaxed geometry. Source: Alexandria, functional PBE-GGA.

DOS(E_F), states/eV per atom: 2.23
M_tot, μB/cell: 7.817
Calculated total energy, eV/atom: -5.707
Symmetry: R-3m

abc: 11.8353 11.8353 11.8353
angles: 20.18 20.18 20.18
Last column: nearest neighbours and their distance in Å.
Element x y z (fractional)
Ba 0.1094 0.1094 0.1094  3 Pd 3.11
Ba 0.8906 0.8906 0.8906  3 Pd 3.11
Gd 0.0000 0.0000 0.0000  2 Ba 3.81, 6 Gd 4.15
Pd 0.5000 0.5000 0.5000  6 Ba 3.11

=====

Crystalline LiCaAu4 at its relaxed geometry. Source: Alexandria, functional PBE-GGA.

DOS(E_F), states/eV per atom: 0.69
M_tot, μB/cell: 0.000
Calculated total energy, eV/atom: -3.345
Symmetry: F-43m

abc: 5.5992 5.5992 5.5992
angles: 60.00 60.00 60.00
Last column: nearest neighbours and their distance in Å.
Element x y z (fractional)
Li 0.0000 0.0000 0.0000  12 Au 3.28, 4 Ca 3.43
Ca 0.7500 0.7500 0.7500  12 Au 3.28, 4 Li 3.43
Au 0.3746 0.3746 0.3746  6 Au 2.79-2.81
Au 0.3746 0.3746 0.8761  6 Au 2.79-2.81
Au 0.3746 0.8761 0.3746  6 Au 2.79-2.81
Au 0.8761 0.3746 0.3746  6 Au 2.79-2.81

=====

Crystalline Ca2Zn2Cl at its relaxed geometry. Source: Alexandria, functional PBE-GGA.

DOS(E_F), states/eV per atom: 0.86
M_tot, μB/cell: 0.000
Symmetry: P4/mbm
Formation energy from raw total energies, eV per atom: -0.636

abc: 7.8117 7.8117 4.4918
angles: 90.00 90.00 90.00
Last column: nearest neighbours and their distance in Å.
Element x y z (fractional)
Ca 0.1842 0.3158 0.0000  2 Cl 2.86, 2 Zn 3.19
Ca 0.3158 0.8158 0.0000  2 Cl 2.86, 2 Zn 3.19
Ca 0.6842 0.1842 0.0000  2 Cl 2.86, 2 Zn 3.19
Ca 0.8158 0.6842 0.0000  2 Cl 2.86, 2 Zn 3.19
Zn 0.1107 0.6107 0.5000  1 Zn 2.45
Zn 0.3893 0.1107 0.5000  1 Zn 2.45
Zn 0.6107 0.8893 0.5000  1 Zn 2.45
Zn 0.8893 0.3893 0.5000  1 Zn 2.45
Cl 0.0000 0.0000 0.0000  4 Ca 2.86
Cl 0.5000 0.5000 0.0000  4 Ca 2.86

=====

Crystalline Li2HoHg8 at its relaxed geometry. Source: Alexandria, functional PBE-GGA.

DOS(E_F), states/eV per atom: 0.39
M_tot, μB/cell: 0.000
Calculated total energy, eV/atom: -1.228
Symmetry: C2/m

abc: 8.1944 8.1944 7.7387
angles: 118.12 118.12 33.90
Last column: nearest neighbours and their distance in Å.
Element x y z (fractional)
Li 0.2056 0.2056 0.2046  10 Hg 2.95-3.18
Li 0.7944 0.7944 0.7954  10 Hg 2.95-3.18
Ho 0.5000 0.5000 0.5000  12 Hg 3.08-3.38
Hg 0.0008 0.0008 0.1926  7 Hg 2.97-3.22, 2 Li 3.17-3.18
Hg 0.1584 0.1584 0.6599  2 Li 3.02, 8 Hg 3.04-3.32, 2 Ho 3.22
Hg 0.3483 0.3483 0.6442  3 Li 2.96-3.01, 4 Hg 3.04-3.16, 1 Ho 3.08
Hg 0.3497 0.3497 0.0523  3 Li 2.95-3.02, 4 Hg 3.04-3.16, 1 Ho 3.08
Hg 0.6503 0.6503 0.9477  3 Li 2.95-3.02, 4 Hg 3.04-3.16, 1 Ho 3.08
Hg 0.6517 0.6517 0.3558  3 Li 2.96-3.01, 4 Hg 3.04-3.16, 1 Ho 3.08
Hg 0.8416 0.8416 0.3401  2 Li 3.02, 8 Hg 3.04-3.32, 2 Ho 3.22
Hg 0.9992 0.9992 0.8074  7 Hg 2.97-3.22, 2 Li 3.17-3.18

=====

Crystalline RbPt2F8 at its relaxed geometry. Source: Alexandria, functional PBE-GGA.

DOS(E_F), states/eV per atom: 0.32
M_tot, μB/cell: 0.442
Symmetry: C2/m
Formation energy from raw total energies, eV per atom: -1.315

abc: 7.8370 7.8370 4.1292
angles: 104.77 104.77 54.14
Last column: nearest neighbours and their distance in Å.
Element x y z (fractional)
Rb 0.0000 0.0000 0.0000  10 F 2.98-3.17
Pt 0.2508 0.2508 0.7452  5 F 1.90-2.07
Pt 0.7492 0.7492 0.2548  5 F 1.90-2.07
F 0.0353 0.6968 0.3688  1 Pt 1.97
F 0.2374 0.2374 0.2321  2 Pt 2.07
F 0.3032 0.9647 0.6312  1 Pt 1.97
F 0.3928 0.3928 0.8846  1 Pt 1.90
F 0.6072 0.6072 0.1154  1 Pt 1.90
F 0.6968 0.0353 0.3688  1 Pt 1.97
F 0.7626 0.7626 0.7679  2 Pt 2.07
F 0.9647 0.3032 0.6312  1 Pt 1.97

=====

Crystalline PrAgTe2 at its relaxed geometry. Source: Alexandria, functional PBE-GGA.

M_tot, μB/cell: 0.000
Symmetry: R-3m
Formation energy from raw total energies, eV per atom: -0.829

abc: 9.0961 9.0961 9.0961
angles: 30.09 30.09 30.09
Last column: nearest neighbours and their distance in Å.
Element x y z (fractional)
Pr 0.0000 0.0000 0.0000  6 Te 3.21
Ag 0.5000 0.5000 0.5000  2 Te 2.64
Te 0.3984 0.3984 0.3984  1 Ag 2.64
Te 0.6016 0.6016 0.6016  1 Ag 2.64

=====

Crystalline Mg2GeIr2 at its relaxed geometry. Source: Alexandria, functional PBE-GGA.

DOS(E_F), states/eV per atom: 0.65
M_tot, μB/cell: 0.000
Calculated total energy, eV/atom: -5.508
Symmetry: P4/mbm

abc: 6.3074 6.3074 4.3403
angles: 90.00 90.00 90.00
Last column: nearest neighbours and their distance in Å.
Element x y z (fractional)
Mg 0.1632 0.3368 0.0000  6 Ir 2.76-2.92, 1 Mg 2.91
Mg 0.3368 0.8368 0.0000  6 Ir 2.76-2.92, 1 Mg 2.91
Mg 0.6632 0.1632 0.0000  6 Ir 2.76-2.92, 1 Mg 2.91
Mg 0.8368 0.6632 0.0000  6 Ir 2.76-2.92, 1 Mg 2.91
Ge 0.0000 0.0000 0.5000  4 Ir 2.42
Ge 0.5000 0.5000 0.5000  4 Ir 2.42
Ir 0.1450 0.6450 0.5000  2 Ge 2.42, 1 Ir 2.59
Ir 0.3550 0.1450 0.5000  2 Ge 2.42, 1 Ir 2.59
Ir 0.6450 0.8550 0.5000  2 Ge 2.42, 1 Ir 2.59
Ir 0.8550 0.3550 0.5000  2 Ge 2.42, 1 Ir 2.59

=====

Crystalline Hf4C3O at its relaxed geometry. Source: Alexandria, functional PBE-GGA.

DOS(E_F), states/eV per atom: 0.21
M_tot, μB/cell: 0.000
Symmetry: Cmmm
Formation energy from raw total energies, eV per atom: -1.402

abc: 5.6699 5.6699 3.2698
angles: 90.00 90.00 109.20
Last column: nearest neighbours and their distance in Å.
Element x y z (fractional)
Hf 0.2374 0.2374 0.5000  4 C 2.26-2.31, 2 O 2.38
Hf 0.2462 0.7538 0.0000  5 C 2.28-2.32, 1 O 2.35
Hf 0.7538 0.2462 0.0000  5 C 2.28-2.32, 1 O 2.35
Hf 0.7626 0.7626 0.5000  4 C 2.26-2.31, 2 O 2.38
C 0.0000 0.0000 0.0000  6 Hf 2.26-2.28
C 0.0000 0.5000 0.5000  6 Hf 2.31-2.32
C 0.5000 0.0000 0.5000  6 Hf 2.31-2.32
O 0.5000 0.5000 0.0000  6 Hf 2.35-2.38

=====

Crystalline Cs2Bi2PdPb at its relaxed geometry. Source: Alexandria, functional PBE-GGA.

DOS(E_F), states/eV per atom: 0.54
M_tot, μB/cell: 0.000
Calculated total energy, eV/atom: -3.329
Symmetry: Ibam

abc: 10.1208 10.1208 10.1208
angles: 135.91 64.33 135.63
Last column: nearest neighbours and their distance in Å.
Element x y z (fractional)
Cs 0.1681 0.2398 0.4079  4 Bi 3.83-4.26, 2 Pb 3.91, 2 Pd 3.98
Cs 0.3319 0.7398 0.0717  4 Bi 3.83-4.26, 2 Pb 3.91, 2 Pd 3.98
Cs 0.6681 0.2602 0.9283  4 Bi 3.83-4.26, 2 Pb 3.91, 2 Pd 3.98
Cs 0.8319 0.7602 0.5921  4 Bi 3.83-4.26, 2 Pb 3.91, 2 Pd 3.98
Bi 0.0794 0.7029 0.7823  2 Pd 2.81
Bi 0.4206 0.2029 0.6236  2 Pd 2.81
Bi 0.5794 0.7971 0.3764  2 Pd 2.81
Bi 0.9206 0.2971 0.2177  2 Pd 2.81
Pd 0.2500 0.7500 0.5000  4 Bi 2.81
Pd 0.7500 0.2500 0.5000  4 Bi 2.81
Pb 0.2500 0.2500 0.0000  4 Bi 3.25
Pb 0.7500 0.7500 0.0000  4 Bi 3.25

=====

Crystalline La3GeSBr at its relaxed geometry. Source: Alexandria, functional PBE-GGA.

DOS(E_F), states/eV per atom: 0.77
M_tot, μB/cell: 0.589
Symmetry: P2_1/m
Formation energy from raw total energies, eV per atom: -1.384

abc: 7.9005 4.1558 11.3915
angles: 90.00 107.39 90.00
Last column: nearest neighbours and their distance in Å.
Element x y z (fractional)
La 0.1689 0.2500 0.1477  2 S 2.92, 1 Br 3.19
La 0.1935 0.2500 0.4847  3 Ge 3.08-3.20, 3 Br 3.12-3.22
La 0.3122 0.7500 0.8425  3 S 2.87-2.98, 1 Br 3.11, 2 Ge 3.19
La 0.6878 0.2500 0.1575  3 S 2.87-2.98, 1 Br 3.11, 2 Ge 3.19
La 0.8065 0.7500 0.5153  3 Ge 3.08-3.20, 3 Br 3.12-3.22
La 0.8311 0.7500 0.8523  2 S 2.92, 1 Br 3.19
Ge 0.0143 0.2500 0.7023  7 La 3.08-3.29
Ge 0.9857 0.7500 0.2977  7 La 3.08-3.29
S 0.4038 0.7500 0.1060  5 La 2.87-2.98
S 0.5962 0.2500 0.8940  5 La 2.87-2.98
Br 0.4767 0.7500 0.6260  5 La 3.11-3.22
Br 0.5233 0.2500 0.3740  5 La 3.11-3.22

=====

Crystalline KLaZr2 at its relaxed geometry. Source: Alexandria, functional PBE-GGA.

DOS(E_F), states/eV per atom: 1.03
M_tot, μB/cell: 0.000
Calculated total energy, eV/atom: -5.223
Symmetry: Cmmm

abc: 3.2548 3.2548 12.7059
angles: 90.00 90.00 117.26
Last column: nearest neighbours and their distance in Å.
Element x y z (fractional)
K 0.0000 0.0000 0.0000  6 K 3.25-3.39
La 0.0000 0.0000 0.5000  6 La 3.25-3.39, 4 Zr 3.32
Zr 0.5000 0.5000 0.2753  6 Zr 3.25-3.39, 2 La 3.32
Zr 0.5000 0.5000 0.7247  6 Zr 3.25-3.39, 2 La 3.32

=====

Crystalline Cs2HSCl at its relaxed geometry. Source: Alexandria, functional PBE-GGA.

DOS(E_F), states/eV per atom: 0.00
M_tot, μB/cell: 0.085
Calculated total energy, eV/atom: -3.467
Symmetry: P2_1/m

abc: 7.1989 5.2576 9.8645
angles: 90.00 96.07 90.00
Last column: nearest neighbours and their distance in Å.
Element x y z (fractional)
Cs 0.2298 0.2500 0.3871  2 H 3.17, 2 Cl 3.54
Cs 0.2577 0.2500 0.8819  1 H 3.13
Cs 0.7423 0.7500 0.1181  1 H 3.13
Cs 0.7702 0.7500 0.6129  2 H 3.17, 2 Cl 3.54
H 0.3616 0.7500 0.2457  1 S 1.35
H 0.6384 0.2500 0.7543  1 S 1.35
S 0.2383 0.7500 0.1326  1 H 1.35
S 0.7617 0.2500 0.8674  1 H 1.35
Cl 0.2678 0.7500 0.6287  6 Cs 3.54-3.64, 3 H 3.86-3.91
Cl 0.7322 0.2500 0.3713  6 Cs 3.54-3.64, 3 H 3.86-3.91

=====

Crystalline YAlHg2 at its relaxed geometry. Source: Alexandria, functional PBE-GGA.

DOS(E_F), states/eV per atom: 0.21
M_tot, μB/cell: 0.000
Calculated total energy, eV/atom: -2.879
Symmetry: F-43m

abc: 5.0615 5.0615 5.0615
angles: 60.00 60.00 60.00
Last column: nearest neighbours and their distance in Å.
Element x y z (fractional)
Y 0.0000 0.0000 0.0000  4 Al 3.10, 4 Hg 3.10
Al 0.7500 0.7500 0.7500  4 Y 3.10, 4 Hg 3.10
Hg 0.2500 0.2500 0.2500  4 Hg 3.10, 4 Y 3.10
Hg 0.5000 0.5000 0.5000  4 Al 3.10, 4 Hg 3.10

=====

Crystalline LaTlHg2Rh at its relaxed geometry. Source: Alexandria, functional PBE-GGA.

DOS(E_F), states/eV per atom: 1.15
M_tot, μB/cell: 0.000
Calculated total energy, eV/atom: -3.301
Symmetry: P4/mmm

abc: 5.3687 5.3687 5.1391
angles: 90.00 90.00 90.00
Last column: nearest neighbours and their distance in Å.
Element x y z (fractional)
La 0.0000 0.0000 0.0000  2 Rh 2.57
Tl 0.5000 0.5000 0.0000  8 Hg 3.72, 4 La 3.80
Hg 0.0000 0.5000 0.5000  2 Rh 2.68
Hg 0.5000 0.0000 0.5000  2 Rh 2.68
Rh 0.0000 0.0000 0.5000  2 La 2.57, 4 Hg 2.68